(1)
Material: Nb2RePtN
Method: DFT, PBE-GGA
State: relaxed

a b c (Å): 4.242 4.242 4.051
angles (deg): 90.00 90.00 90.00
Positions (direct):
Nb  0.000  0.500  0.000
Nb  0.500  0.000  0.000
Re  0.000  0.000  0.500
Pt  0.500  0.500  0.500
N  0.000  0.000  0.000

(2)
Material: NbPtS2N
Method: DFT, PBE-GGA
State: relaxed

Excess energy over the best structure of this formula in the dataset, eV per atom: 0.223

a b c (Å): 4.914 4.914 3.654
angles (deg): 90.00 90.00 90.00
Positions (direct):
Nb  0.000  0.000  0.000
Pt  0.500  0.500  0.500
S  0.000  0.500  0.500
S  0.500  0.000  0.500
N  0.500  0.500  0.000

(3)
Material: NbPtS2N
Method: DFT, PBE-GGA
State: relaxed

Excess energy over the best structure of this formula in the dataset, eV per atom: 0.000

a b c (Å): 4.912 4.912 3.818
angles (deg): 90.00 90.00 90.00
Positions (direct):
Nb  0.000  0.000  0.000
Pt  0.500  0.500  0.500
S  0.000  0.500  0.000
S  0.500  0.000  0.000
N  0.000  0.000  0.500

(4)
Material: ScNb2PtN
Method: DFT, PBE-GGA
State: relaxed

Excess energy over the best structure of this formula in the dataset, eV per atom: 1.982

a b c (Å): 5.229 5.229 3.692
angles (deg): 90.00 90.00 90.00
Positions (direct):
Sc  0.000  0.000  0.000
Nb  0.000  0.500  0.500
Nb  0.500  0.000  0.500
Pt  0.500  0.500  0.500
N  0.500  0.500  0.000

(5)
Material: Sc2NbPtN
Method: DFT, PBE-GGA
State: relaxed

Excess energy over the best structure of this formula in the dataset, eV per atom: 1.458

a b c (Å): 5.176 5.176 3.918
angles (deg): 90.00 90.00 90.00
Positions (direct):
Sc  0.000  0.500  0.000
Sc  0.500  0.000  0.000
Nb  0.000  0.000  0.000
Pt  0.500  0.500  0.500
N  0.000  0.000  0.500

(6)
Material: Sc2NbPtN
Method: DFT, PBE-GGA
State: relaxed

Excess energy over the best structure of this formula in the dataset, eV per atom: 0.000

a b c (Å): 4.327 4.327 4.274
angles (deg): 90.00 90.00 90.00
Positions (direct):
Sc  0.000  0.500  0.000
Sc  0.500  0.000  0.000
Nb  0.000  0.000  0.500
Pt  0.500  0.500  0.500
N  0.000  0.000  0.000

(7)
Material: ScNb2PtN
Method: DFT, PBE-GGA
State: relaxed

Excess energy over the best structure of this formula in the dataset, eV per atom: 0.000

a b c (Å): 4.216 4.216 4.401
angles (deg): 90.00 90.00 90.00
Positions (direct):
Sc  0.000  0.000  0.000
Nb  0.000  0.500  0.500
Nb  0.500  0.000  0.500
Pt  0.500  0.500  0.000
N  0.000  0.000  0.500

(8)
Material: TaNb2PtN
Method: DFT, PBE-GGA
State: relaxed

a b c (Å): 4.249 4.249 4.216
angles (deg): 90.00 90.00 90.00
Positions (direct):
Ta  0.000  0.000  0.000
Nb  0.000  0.500  0.500
Nb  0.500  0.000  0.500
Pt  0.500  0.500  0.000
N  0.000  0.000  0.500

(9)
Material: Ta2NbPtN
Method: DFT, PBE-GGA
State: relaxed

a b c (Å): 4.222 4.222 4.247
angles (deg): 90.00 90.00 90.00
Positions (direct):
Ta  0.000  0.500  0.000
Ta  0.500  0.000  0.000
Nb  0.000  0.000  0.500
Pt  0.500  0.500  0.500
N  0.000  0.000  0.000

(10)
Material: NbTc2PtN
Method: DFT, PBE-GGA
State: relaxed

a b c (Å): 4.058 4.058 4.201
angles (deg): 90.00 90.00 90.00
Positions (direct):
Nb  0.000  0.000  0.000
Tc  0.000  0.500  0.500
Tc  0.500  0.000  0.500
Pt  0.500  0.500  0.000
N  0.000  0.000  0.500

(11)
Material: NbTePtN2
Method: DFT, PBE-GGA
State: relaxed

Excess energy over the best structure of this formula in the dataset, eV per atom: 0.000

a b c (Å): 3.958 3.958 6.122
angles (deg): 90.00 90.00 90.00
Positions (direct):
Nb  0.000  0.000  0.000
Te  0.000  0.000  0.500
Pt  0.500  0.500  0.500
N  0.000  0.500  0.000
N  0.500  0.000  0.000

(12)
Material: NbTePtN2
Method: DFT, PBE-GGA
State: relaxed

Excess energy over the best structure of this formula in the dataset, eV per atom: 0.823

a b c (Å): 3.835 3.835 7.960
angles (deg): 90.00 90.00 90.00
Positions (direct):
Nb  0.000  0.000  0.000
Te  0.500  0.500  0.000
Pt  0.500  0.500  0.500
N  0.000  0.500  0.500
N  0.500  0.000  0.500

Number 1: density 13.2 g/cm³, ΔE_f (raw) -487.0 meV per atom. Number 2: density 6.9 g/cm³, ΔE_f (raw) 722.4 meV per atom. Number 3: density 6.6 g/cm³, ΔE_f (raw) 499.8 meV per atom. Number 4: density 7.2 g/cm³, ΔE_f (raw) 1105.1 meV per atom. Number 5: density 6.2 g/cm³, ΔE_f (raw) 387.3 meV per atom. Number 6: density 8.1 g/cm³, ΔE_f (raw) -1070.3 meV per atom. Number 7: density 9.3 g/cm³, ΔE_f (raw) -876.6 meV per atom. Number 8: density 12.6 g/cm³, ΔE_f (raw) -698.9 meV per atom. Number 9: density 14.6 g/cm³, ΔE_f (raw) -693.0 meV per atom. Number 10: density 12.0 g/cm³, ΔE_f (raw) -358.3 meV per atom. Number 11: density 7.7 g/cm³, ΔE_f (raw) 548.7 meV per atom. Number 12: density 6.3 g/cm³, ΔE_f (raw) 1371.3 meV per atom.